Record 1
Computed, not measured: an optimized crystal structure of AsRuRhN2 at the PBEsol level of DFT. Values from VASP.

## Properties
* SG: No. 123
* mass density: 7.07 g cm⁻³
* formation energy from raw total energies: 761 meV/atom
* DOS at the Fermi energy: 2.52 states/eV/cell

Cell and atoms, written as Quantum ESPRESSO input:
```
&SYSTEM
  ibrav = 0, nat = 5, ntyp = 4
/
ATOMIC_SPECIES
Ru 101.07 Ru.upf
Rh 102.91 Rh.upf
As 74.92 As.upf
N 14.01 N.upf
ATOMIC_POSITIONS angstrom
Ru 0.0000 0.0000 0.0000
Rh 1.7438 1.4875 1.4622
As 2.4940 -0.6288 2.7205
N -0.5382 -0.8564 1.5131
N 1.2884 -1.2599 -0.2548
CELL_PARAMETERS angstrom
-1.0764 -1.7127 3.0261
2.5769 -2.5199 -0.5096
3.4875 2.9750 2.9243
```

Record 2
Computed, not measured: an optimized crystal structure of Ti2SnBiSe at the PBEsol level of DFT. Values from VASP.

## Properties
* SG: No. 123
* mass density: 6.76 g cm⁻³
* formation energy from raw total energies: 228 meV/atom
* DOS at the Fermi energy: 6.91 states/eV/cell

Cell and atoms, written as Quantum ESPRESSO input:
```
&SYSTEM
  ibrav = 0, nat = 5, ntyp = 4
/
ATOMIC_SPECIES
Ti 47.87 Ti.upf
Bi 208.98 Bi.upf
Se 78.96 Se.upf
Sn 118.71 Sn.upf
ATOMIC_POSITIONS angstrom
Ti 0.0000 2.3688 0.0000
Bi 2.3688 2.3688 2.7473
Se 0.0000 0.0000 0.0000
Ti 2.3688 0.0000 0.0000
Sn 0.0000 0.0000 2.7473
CELL_PARAMETERS angstrom
4.7376 0.0000 0.0000
0.0000 4.7376 0.0000
0.0000 0.0000 5.4945
```

Record 3
Computed, not measured: an optimized crystal structure of YMgFe at the PBEsol level of DFT. Values from VASP.

## Properties
* SG: No. 187
* mass density: 4.62 g cm⁻³
* energy relative to the elements: 31.1 kJ/mol of atoms
* DOS at the Fermi energy: 4.72 states/eV/cell

Cell and atoms, written as Quantum ESPRESSO input:
```
&SYSTEM
  ibrav = 0, nat = 3, ntyp = 3
/
ATOMIC_SPECIES
Fe 55.84 Fe.upf
Mg 24.30 Mg.upf
Y 88.91 Y.upf
ATOMIC_POSITIONS angstrom
Fe 0.0000 0.0000 0.0000
Mg 0.0000 0.0000 2.6861
Y 1.6223 2.3262 1.3430
CELL_PARAMETERS angstrom
3.2446 0.0000 0.0000
0.0000 4.6524 0.0000
0.0000 -2.3262 4.0291
```

Which of these has the lowest mass density?
YMgFe

What did the first record say?
Computed, not measured: an optimized crystal structure of AsRuRhN2 at the PBEsol level of DFT. Values from VASP.

## Properties
* SG: No. 123
* mass density: 7.07 g cm⁻³
* formation energy from raw total energies: 761 meV/atom
* DOS at the Fermi energy: 2.52 states/eV/cell

Cell and atoms, written as Quantum ESPRESSO input:
```
&SYSTEM
  ibrav = 0, nat = 5, ntyp = 4
/
ATOMIC_SPECIES
Ru 101.07 Ru.upf
Rh 102.91 Rh.upf
As 74.92 As.upf
N 14.01 N.upf
ATOMIC_POSITIONS angstrom
Ru 0.0000 0.0000 0.0000
Rh 1.7438 1.4875 1.4622
As 2.4940 -0.6288 2.7205
N -0.5382 -0.8564 1.5131
N 1.2884 -1.2599 -0.2548
CELL_PARAMETERS angstrom
-1.0764 -1.7127 3.0261
2.5769 -2.5199 -0.5096
3.4875 2.9750 2.9243
```